Material: Na2HoTlI6
Method: DFT, GGA-PBE
State: optimized geometry

a = 8.1300 Å, b = 8.1300 Å, c = 22.3799 Å
α = 90.00°, β = 90.00°, γ = 120.00°
Space group R3 (No. 146, hexagonal axes)
Inequivalent atoms, fractional coordinates:
Na1 0.0000 0.0000 0.0000
Na2 0.0000 0.0000 0.4868
Ho1 0.0000 0.0000 0.6747
Tl1 0.0000 0.0000 0.1872
I1 0.0075 0.3177 0.7480
I2 0.0250 0.6367 0.2570

## Properties
formation energy (no corrections) = -1179 meV/atom
DOS(E_F) = 0.00 states/eV/atom
DFT total energy = -92.034 eV per cell